# Pm2VCdO6 | Alexandria | PBE+U | relaxed
data_Pm2VCdO6
_space_group_name_H-M_alt 'P 4 m m'
_space_group_IT_number 99
_space_group_name_Hall 'P 4 -2'
_cell_length_a 5.395
_cell_length_b 5.395
_cell_length_c 5.188
_cell_angle_alpha 90.00
_cell_angle_beta 90.00
_cell_angle_gamma 90.00
loop_
_atom_site_label
_atom_site_type_symbol
_atom_site_fract_x
_atom_site_fract_y
_atom_site_fract_z
Pm1 Pm 0.000 0.500 0.000
V1 V 0.000 0.000 0.602
Cd1 Cd 0.500 0.500 0.554
O1 O 0.000 0.000 0.258
O2 O 0.233 0.233 0.749
O3 O 0.500 0.500 0.145
# ρ ... 6.0 g cm⁻³
# Spin magnetization ... 1.00 μB/cell
# Uncorrected energy ... -71.718 eV for the cell shown
# Density of states at the Fermi level ... 0.000 states/eV/cell
# Crystal system ... tetragonal
# V ... 151.0 Å³/cell